Record 1
## KOsPt2 (GGA-PBEsol)

Data for KOsPt2 after structural relaxation.

Structure (POSCAR):
```
KOsPt2
1.0
-1.786 2.545 4.289
1.786 -2.545 4.289
1.786 2.545 -4.289
K Os Pt
1 1 2
direct
0.000 0.000 0.000
0.500 0.500 0.000
0.298 0.798 0.500
0.702 0.202 0.500
```

For the electronic total energy, the calculation gives -5.7437 eV per atom. The value obtained for the excess energy over the best structure of this formula in the dataset is 0.555 eV per atom. As for the space group: No. 71. For the formation energy, the calculation gives 1.08 eV/atom.

Record 2
## AlNiIr2 (GGA-PBEsol)

Data for AlNiIr2 after structural relaxation.

Structure (POSCAR):
```
AlNiIr2
1.0
-1.860 1.860 3.768
1.860 -1.860 3.768
1.860 1.860 -3.768
Al Ni Ir
1 1 2
direct
0.000 0.000 0.000
0.250 0.750 0.500
0.500 0.500 0.000
0.750 0.250 0.500
```

For the electronic total energy, the calculation gives -7.8152 eV per atom. As for the space group: No. 119. For the formation energy, the calculation gives -0.34 eV/atom.

Record 3
## BaMnRu (GGA-PBEsol)

Data for BaMnRu after structural relaxation.

Structure (POSCAR):
```
BaMnRu
1.0
0.000 3.272 3.272
3.272 0.000 3.272
3.272 3.272 0.000
Ba Mn Ru
1 1 1
direct
0.000 0.000 0.000
0.250 0.250 0.250
0.750 0.750 0.750
```

For the electronic total energy, the calculation gives -5.4923 eV per atom. The value obtained for the excess energy over the best structure of this formula in the dataset is 1.249 eV per atom. As for the space group: No. 216. For the formation energy, the calculation gives 1.87 eV/atom.

Record 4
## Ti2Be2Hg (GGA-PBEsol)

Data for Ti2Be2Hg after structural relaxation.

Structure (POSCAR):
```
Ti2Be2Hg
1.0
6.115 0.000 0.000
0.000 6.115 0.000
0.000 0.000 3.626
Ti Be Hg
4 4 2
direct
0.165 0.335 0.000
0.335 0.835 0.000
0.665 0.165 0.000
0.835 0.665 0.000
0.124 0.624 0.500
0.376 0.124 0.500
0.624 0.876 0.500
0.876 0.376 0.500
0.000 0.000 0.500
0.500 0.500 0.500
```

For the electronic total energy, the calculation gives -5.2394 eV per atom. As for the space group: No. 127. For the formation energy, the calculation gives -0.20 eV/atom.